Model 1:
# HgPBrO2

HgPBrO2 after structural relaxation (PBE, the Alexandria database).

Cell: 3.871 3.871 5.481 Å, 90.00 90.00 90.00°
Fractional positions:
O 0.000 0.500 0.000
Br 0.000 0.000 0.000
O 0.500 0.000 0.000
P 0.000 0.000 0.500
Hg 0.500 0.500 0.500

For the density of states at the Fermi level, the calculation gives 2.3 states/eV/f.u. For the spin magnetization, the calculation gives 0.00 μB per cell. Its space group is No. 123.

***

Model 2:
# HgPBrO2

HgPBrO2 after structural relaxation (PBE, the Alexandria database).

Cell: 4.103 4.103 5.714 Å, 90.00 90.00 90.00°
Last column: magnetic moment on the atom in μB.
Fractional positions:
O 0.000 0.500 0.000  0.41
Hg 0.000 0.000 0.000  0.04
Br 0.500 0.500 0.500  0.00
P 0.000 0.000 0.500  0.17
O 0.500 0.000 0.000  0.41

For the density of states at the Fermi level, the calculation gives 4.6 states/eV/f.u. For the spin magnetization, the calculation gives 1.36 μB per cell. Its space group is No. 123.

***

Each structure's energy above the most stable one, in meV per atom: model 1 0; model 2 148.

***

Model 1:
# HgSe2BrO

HgSe2BrO after structural relaxation (PBE, the Alexandria database).

Cell: 4.555 4.555 4.938 Å, 90.00 90.00 90.00°
Fractional positions:
Hg 0.500 0.500 0.500
Se 0.000 0.500 0.000
O 0.000 0.000 0.000
Br 0.000 0.000 0.500
Se 0.500 0.000 0.000

For the density of states at the Fermi level, the calculation gives 5.7 states/eV/f.u. For the spin magnetization, the calculation gives 0.00 μB per cell. Its space group is No. 123.

***

Model 2:
# HgSe2BrO

HgSe2BrO after structural relaxation (PBE, the Alexandria database).

Cell: 5.369 5.369 5.440 Å, 90.00 90.00 90.00°
Last column: magnetic moment on the atom in μB.
Fractional positions:
Hg 0.000 0.000 0.000  0.01
Se 0.000 0.500 0.000  0.74
Br 0.000 0.000 0.500  0.15
O 0.500 0.500 0.500  -0.01
Se 0.500 0.000 0.000  0.74

For the density of states at the Fermi level, the calculation gives 16.6 states/eV/f.u. For the spin magnetization, the calculation gives 2.52 μB per cell. Its space group is No. 123.

***

Each structure's energy above the most stable one, in meV per atom: model 1 0; model 2 743.

***

Model 1:
# HgOsBr

HgOsBr after structural relaxation (PBE, the Alexandria database).

Cell: 8.364 8.032 3.128 Å, 85.05 73.07 21.87°
Fractional positions:
Os 0.657 0.657 0.343
Hg 0.312 0.312 0.688
Br 0.031 0.031 0.969

For the density of states at the Fermi level, the calculation gives 1.6 states/eV/f.u. For the spin magnetization, the calculation gives 0.00 μB per cell. Its space group is No. 42.

***

Model 2:
# HgOsBr

HgOsBr after structural relaxation (PBE, the Alexandria database).

Cell: 4.567 4.567 3.218 Å, 90.00 90.00 120.00°
Fractional positions:
Os 0.333 0.667 0.833
Br 0.000 0.000 0.833
Hg 0.667 0.333 0.334

For the density of states at the Fermi level, the calculation gives 4.1 states/eV/f.u. For the spin magnetization, the calculation gives 0.00 μB per cell. Its space group is No. 187.

***

Model 3:
# HgOsBr

HgOsBr after structural relaxation (PBE, the Alexandria database).

Cell: 6.896 6.896 6.896 Å, 154.09 154.09 36.96°
Last column: magnetic moment on the atom in μB.
Fractional positions:
Hg 0.305 0.305 0.000  0.00
Br 0.036 0.036 0.000  0.02
Os 0.658 0.658 0.000  0.19

For the density of states at the Fermi level, the calculation gives 4.1 states/eV/f.u. For the spin magnetization, the calculation gives 0.24 μB per cell. Its space group is No. 107.

***

Model 4:
# HgOsBr

HgOsBr after structural relaxation (PBE, the Alexandria database).

Cell: 3.045 3.045 7.756 Å, 90.00 90.00 120.00°
Fractional positions:
Os 0.333 0.667 0.685
Hg 0.667 0.333 0.381
Br 0.000 0.000 0.934

For the density of states at the Fermi level, the calculation gives 1.9 states/eV/f.u. For the spin magnetization, the calculation gives 0.00 μB per cell. Its space group is No. 156.

***

Each structure's energy above the most stable one, in meV per atom: model 1 0; model 2 306; model 3 176; model 4 18.

***

Model 1:
# HgPBr2

HgPBr2 after structural relaxation (PBE, the Alexandria database).

Cell: 3.928 7.260 4.090 Å, 90.00 90.00 90.00°
Last column: magnetic moment on the atom in μB.
Fractional positions:
P 0.000 0.500 0.500  0.39
Br 0.000 0.000 0.000  0.01
Br 0.500 0.500 0.000  0.03
Hg 0.500 0.000 0.500  -0.01

For the density of states at the Fermi level, the calculation gives 2.8 states/eV/f.u. For the spin magnetization, the calculation gives 0.92 μB per cell. Its space group is No. 47.

***

Model 2:
# HgPBr2

HgPBr2 after structural relaxation (PBE, the Alexandria database).

Cell: 3.774 3.776 8.331 Å, 90.00 90.00 90.00°
Fractional positions:
Hg 0.000 0.000 0.659
P 0.500 0.500 0.567
Br 0.000 0.000 0.971
Br 0.500 0.500 0.303

For the density of states at the Fermi level, the calculation gives 2.1 states/eV/f.u. For the spin magnetization, the calculation gives 0.00 μB per cell. Its space group is No. 99.

***

Each structure's energy above the most stable one, in meV per atom: model 1 395; model 2 0.

***

Model 1:
# HgPBr2

HgPBr2 after structural relaxation (PBE, the Alexandria database).

Cell: 5.342 5.454 6.415 Å, 106.78 113.71 90.34°
Fractional positions:
Br 0.476 0.757 0.847
P 0.443 0.308 0.783
Br 0.247 0.143 0.377
Hg 0.955 0.293 0.807

For the density of states at the Fermi level, the calculation gives 0.8 states/eV/f.u. For the spin magnetization, the calculation gives 0.00 μB per cell. Its space group is No. 1.

***

Model 2:
# HgPBr2

HgPBr2 after structural relaxation (PBE, the Alexandria database).

Cell: 4.199 4.199 10.649 Å, 90.00 90.00 128.90°
Last column: magnetic moment on the atom in μB.
Fractional positions:
Br 0.000 0.000 0.918  0.04
Br 0.000 0.000 0.582  0.04
P 0.500 0.500 0.750  0.27
Hg 0.500 0.500 0.250  0.00

For the density of states at the Fermi level, the calculation gives 1.1 states/eV/f.u. For the spin magnetization, the calculation gives 0.73 μB per cell. Its space group is No. 65.

***

Model 3:
# HgPBr2

HgPBr2 after structural relaxation (PBE, the Alexandria database).

Cell: 3.445 3.445 8.564 Å, 90.00 90.00 90.00°
Fractional positions:
Br 0.000 0.000 0.925
Hg 0.000 0.000 0.526
Br 0.500 0.500 0.316
P 0.500 0.500 0.732

For the density of states at the Fermi level, the calculation gives 1.8 states/eV/f.u. For the spin magnetization, the calculation gives 0.00 μB per cell. Its space group is No. 99.

***

Model 4:
# HgPBr2

HgPBr2 after structural relaxation (PBE, the Alexandria database).

Cell: 6.139 6.647 7.470 Å, 75.07 83.24 80.99°
Fractional positions:
Br 0.894 0.885 0.323
P 0.650 0.747 0.200
Hg 0.341 0.523 0.612
Br 0.291 0.218 0.469
P 0.534 0.022 0.978
Br 0.880 0.523 0.061
Br 0.840 0.106 0.788
Hg 0.406 0.806 0.790

For the density of states at the Fermi level, the calculation gives 0.0 states/eV/f.u. For the spin magnetization, the calculation gives 0.00 μB per cell. Its space group is No. 1.

***

Each structure's energy above the most stable one, in meV per atom: model 1 116; model 2 350; model 3 642; model 4 0.

***

Model 1:
# HgP2Br

HgP2Br after structural relaxation (PBE, the Alexandria database).

Cell: 5.487 5.487 8.109 Å, 70.22 70.22 90.00°
Fractional positions:
Hg 0.750 0.250 0.500
P 0.643 0.125 0.250
P 0.875 0.893 0.750
Hg 0.000 0.000 0.000
P 0.107 0.625 0.250
P 0.375 0.357 0.750
Br 0.250 0.750 0.500
Br 0.500 0.500 0.000

For the density of states at the Fermi level, the calculation gives 1.6 states/eV/f.u. For the spin magnetization, the calculation gives 0.00 μB per cell. Its space group is No. 122.

***

Model 2:
# HgP2Br

HgP2Br after structural relaxation (PBE, the Alexandria database).

Cell: 4.807 4.811 4.804 Å, 74.37 68.60 111.46°
Fractional positions:
P 0.000 0.500 0.500
P 0.000 0.000 0.000
Hg 0.500 0.000 0.500
Br 0.500 0.500 0.000

For the density of states at the Fermi level, the calculation gives 2.0 states/eV/f.u. For the spin magnetization, the calculation gives 0.00 μB per cell. Its space group is No. 139.

***

Model 3:
# HgP2Br

HgP2Br after structural relaxation (PBE, the Alexandria database).

Cell: 3.314 5.839 4.386 Å, 90.00 90.00 90.00°
Fractional positions:
P 0.500 0.500 0.000
Br 0.500 0.000 0.500
P 0.000 0.000 0.000
Hg 0.000 0.500 0.500

For the density of states at the Fermi level, the calculation gives 2.2 states/eV/f.u. For the spin magnetization, the calculation gives 0.00 μB per cell. Its space group is No. 47.

***

Each structure's energy above the most stable one, in meV per atom: model 1 269; model 2 0; model 3 219.

***

Model 1:
# HgP2Br

HgP2Br after structural relaxation (PBE, the Alexandria database).

Cell: 7.376 3.750 3.750 Å, 90.00 90.00 90.00°
Fractional positions:
P 0.000 0.000 0.000
P 0.000 0.500 0.500
Br 0.500 0.500 0.000
Hg 0.500 0.000 0.500

For the density of states at the Fermi level, the calculation gives 2.1 states/eV/f.u. For the spin magnetization, the calculation gives 0.00 μB per cell. Its space group is No. 123.

***

Model 2:
# HgP2Br

HgP2Br after structural relaxation (PBE, the Alexandria database).

Cell: 3.365 6.415 9.656 Å, 32.84 90.00 90.00°
Fractional positions:
Br 0.000 0.378 0.574
Hg 0.500 0.815 0.626
P 0.000 0.029 0.156
P 0.500 0.278 0.144

For the density of states at the Fermi level, the calculation gives 0.7 states/eV/f.u. For the spin magnetization, the calculation gives 0.00 μB per cell. Its space group is No. 6.

***

Model 3:
# HgP2Br

HgP2Br after structural relaxation (PBE, the Alexandria database).

Cell: 3.352 3.352 9.001 Å, 90.00 90.00 90.00°
Fractional positions:
Hg 0.500 0.500 0.767
P 0.000 0.000 0.116
Br 0.000 0.000 0.573
P 0.500 0.500 0.043

For the density of states at the Fermi level, the calculation gives 2.0 states/eV/f.u. For the spin magnetization, the calculation gives 0.00 μB per cell. Its space group is No. 99.

***

Model 4:
# HgP2Br

HgP2Br after structural relaxation (PBE, the Alexandria database).

Cell: 7.826 7.826 2.565 Å, 90.00 90.00 138.03°
Fractional positions:
Hg 0.000 0.500 0.500
P 0.500 0.500 0.000
Br 0.500 0.000 0.500
P 0.000 0.000 0.000

For the density of states at the Fermi level, the calculation gives 2.9 states/eV/f.u. For the spin magnetization, the calculation gives 0.00 μB per cell. Its space group is No. 65.

***

Each structure's energy above the most stable one, in meV per atom: model 1 599; model 2 0; model 3 147; model 4 682.

***

Model 1:
# HgP2Br

HgP2Br after structural relaxation (PBE, the Alexandria database).

Cell: 5.053 5.053 3.185 Å, 90.00 90.00 90.00°
Fractional positions:
Br 0.500 0.000 0.500
Hg 0.000 0.500 0.500
P 0.500 0.500 0.000
P 0.000 0.000 0.000

For the density of states at the Fermi level, the calculation gives 2.6 states/eV/f.u. For the spin magnetization, the calculation gives 0.00 μB per cell. Its space group is No. 123.

***

Model 2:
# HgP2Br

HgP2Br after structural relaxation (PBE, the Alexandria database).

Cell: 5.201 5.540 5.469 Å, 90.00 90.00 90.00°
Fractional positions:
Br 0.500 0.500 0.250
P 0.000 0.000 0.924
Hg 0.500 0.500 0.750
P 0.000 0.000 0.576

For the density of states at the Fermi level, the calculation gives 0.4 states/eV/f.u. For the spin magnetization, the calculation gives 0.00 μB per cell. Its space group is No. 47.

***

Model 3:
# HgP2Br

HgP2Br after structural relaxation (PBE, the Alexandria database).

Cell: 3.506 3.506 7.690 Å, 90.00 90.00 112.22°
Fractional positions:
Hg 0.500 0.500 0.750
P 0.000 0.000 0.973
Br 0.500 0.500 0.250
P 0.000 0.000 0.527

For the density of states at the Fermi level, the calculation gives 2.6 states/eV/f.u. For the spin magnetization, the calculation gives 0.00 μB per cell. Its space group is No. 65.

***

Each structure's energy above the most stable one, in meV per atom: model 1 579; model 2 0; model 3 431.

***

Model 1:
# HgP2Br

HgP2Br after structural relaxation (PBE, the Alexandria database).

Cell: 4.859 4.859 4.859 Å, 60.00 60.00 60.00°
Fractional positions:
P 0.000 0.000 0.000
P 0.250 0.250 0.250
Br 0.500 0.500 0.500
Hg 0.750 0.750 0.750

For the density of states at the Fermi level, the calculation gives 1.4 states/eV/f.u. For the spin magnetization, the calculation gives 0.00 μB per cell. Its space group is No. 216.

***

Model 2:
# HgP2Br

HgP2Br after structural relaxation (PBE, the Alexandria database).

Cell: 3.933 4.385 5.918 Å, 80.24 90.00 90.00°
Fractional positions:
P 0.000 0.429 0.609
Hg 0.500 0.750 0.750
Br 0.500 0.250 0.250
P 0.000 0.071 0.891

For the density of states at the Fermi level, the calculation gives 1.5 states/eV/f.u. For the spin magnetization, the calculation gives 0.00 μB per cell. Its space group is No. 10.

***

Each structure's energy above the most stable one, in meV per atom: model 1 630; model 2 0.

***

Model 1:
# HgP2Br

HgP2Br after structural relaxation (PBE, the Alexandria database).

Cell: 11.877 11.877 11.877 Å, 14.72 14.72 14.72°
Fractional positions:
Br 0.250 0.250 0.250
Hg 0.750 0.750 0.750
P 0.479 0.479 0.479
P 0.021 0.021 0.021

For the density of states at the Fermi level, the calculation gives 3.0 states/eV/f.u. For the spin magnetization, the calculation gives 0.00 μB per cell. Its space group is No. 166.

***

Model 2:
# HgP2Br

HgP2Br after structural relaxation (PBE, the Alexandria database).

Cell: 8.709 8.709 8.709 Å, 159.96 146.36 39.47°
Fractional positions:
P 0.178 0.678 0.500
Hg 0.807 0.307 0.500
P 0.089 0.089 0.000
Br 0.425 0.425 0.000

For the density of states at the Fermi level, the calculation gives 1.6 states/eV/f.u. For the spin magnetization, the calculation gives 0.00 μB per cell. Its space group is No. 44.

***

Each structure's energy above the most stable one, in meV per atom: model 1 651; model 2 0.

***

Model 1:
# HgP2Br

HgP2Br after structural relaxation (PBE, the Alexandria database).

Cell: 4.846 4.846 4.846 Å, 60.00 60.00 60.00°
Fractional positions:
Hg 0.500 0.500 0.500
P 0.750 0.750 0.750
P 0.250 0.250 0.250
Br 0.000 0.000 0.000

For the density of states at the Fermi level, the calculation gives 2.4 states/eV/f.u. For the spin magnetization, the calculation gives 0.00 μB per cell. Its space group is No. 225.

***

Model 2:
# HgP2Br

HgP2Br after structural relaxation (PBE, the Alexandria database).

Cell: 7.840 7.840 7.840 Å, 152.31 152.31 39.56°
Fractional positions:
P 0.500 0.500 0.000
Br 0.250 0.750 0.500
Hg 0.750 0.250 0.500
P 0.000 0.000 0.000

For the density of states at the Fermi level, the calculation gives 3.2 states/eV/f.u. For the spin magnetization, the calculation gives 0.00 μB per cell. Its space group is No. 139.

***

Each structure's energy above the most stable one, in meV per atom: model 1 292; model 2 0.